A plane-wave DFT calculation with PBE with a Hubbard U was carried out for NaMn2V3Pb2O12 after structural relaxation.

VASP energy ... -141.7 eV/f.u.
Space group ... I4_1/acd
DOS at the Fermi energy ... 0.000 states/eV per atom
Total magnetic moment ... 10.0 μB per formula unit

Unit cell a=11.302 b=11.302 c=11.302 alpha=109.20 beta=109.20 gamma=110.01
Fractional positions:
Na1 0.125 0.375 0.750
Na2 0.375 0.125 0.250
Na3 0.625 0.875 0.750
Na4 0.875 0.625 0.250
Mn1 0.000 0.000 0.000
Mn2 0.000 0.000 0.500
Mn3 0.000 0.500 0.000
Mn4 0.000 0.500 0.500
Mn5 0.500 0.000 0.000
Mn6 0.500 0.000 0.500
Mn7 0.500 0.500 0.000
Mn8 0.500 0.500 0.500
V1 0.124 0.250 0.374
V2 0.125 0.875 0.250
V3 0.250 0.376 0.126
V4 0.250 0.876 0.626
V5 0.375 0.625 0.750
V6 0.376 0.750 0.126
V7 0.624 0.250 0.874
V8 0.625 0.375 0.250
V9 0.750 0.124 0.374
V10 0.750 0.624 0.874
V11 0.875 0.125 0.750
V12 0.876 0.750 0.626
Pb1 0.129 0.750 0.879
Pb2 0.250 0.129 0.879
Pb3 0.250 0.629 0.379
Pb4 0.371 0.250 0.621
Pb5 0.629 0.750 0.379
Pb6 0.750 0.371 0.621
Pb7 0.750 0.871 0.121
Pb8 0.871 0.250 0.121
O1 0.007 0.113 0.704
O2 0.009 0.892 0.804
O3 0.088 0.392 0.384
O4 0.091 0.698 0.204
O5 0.108 0.412 0.116
O6 0.108 0.699 0.496
O7 0.112 0.203 0.504
O8 0.113 0.909 0.107
O9 0.198 0.591 0.704
O10 0.199 0.608 0.996
O11 0.203 0.199 0.091
O12 0.204 0.009 0.616
O13 0.296 0.912 0.804
O14 0.297 0.388 0.996
O15 0.301 0.297 0.409
O16 0.302 0.007 0.393
O17 0.387 0.493 0.796
O18 0.388 0.892 0.091
O19 0.392 0.509 0.304
O20 0.392 0.888 0.591
O21 0.409 0.613 0.607
O22 0.412 0.796 0.304
O23 0.491 0.296 0.884
O24 0.493 0.198 0.107
O25 0.507 0.802 0.893
O26 0.509 0.704 0.116
O27 0.588 0.204 0.696
O28 0.591 0.387 0.393
O29 0.608 0.112 0.409
O30 0.608 0.491 0.696
O31 0.612 0.108 0.909
O32 0.613 0.507 0.204
O33 0.698 0.993 0.607
O34 0.699 0.703 0.591
O35 0.703 0.612 0.004
O36 0.704 0.088 0.196
O37 0.796 0.991 0.384
O38 0.797 0.801 0.909
O39 0.801 0.392 0.004
O40 0.802 0.409 0.296
O41 0.887 0.091 0.893
O42 0.888 0.797 0.496
O43 0.892 0.301 0.504
O44 0.892 0.588 0.884
O45 0.909 0.302 0.796
O46 0.912 0.608 0.616
O47 0.991 0.108 0.196
O48 0.993 0.887 0.296